{
  "formula": "CrNi2F",
  "functional": "PBE with a Hubbard U",
  "state": "relaxed",
  "lattice_angstrom": [[-3.617, 3.617, 2.219], [3.617, -3.617, 2.219], [3.617, 3.617, -2.219]],
  "species": ["Cr", "Cr", "Ni", "Ni", "Ni", "Ni", "F", "F"],
  "frac_coords": [[0.000, 0.000, 0.000], [0.750, 0.250, 0.500], [0.194, 0.125, 0.569], [0.375, 0.806, 0.931], [0.556, 0.625, 0.431], [0.875, 0.444, 0.069], [0.250, 0.750, 0.500], [0.500, 0.500, 0.000]],
  "dft_energy_ev_per_atom": -3.501,
  "space_group": "No. 122",
  "density_g_cm3": 5.39
}